No. 1
Material: K2LiZnF6
Method: DFT, PBE-GGA
State: optimized geometry

a = 5.5374 Å, b = 5.5374 Å, c = 5.5374 Å
α = 120.02°, β = 120.02°, γ = 89.97°
Atoms (fractional coordinates):
F 0.7490 0.2510 0.0000
F 0.2512 0.2512 0.0000
F 0.7488 0.7488 0.0000
F 0.2510 0.7490 0.0000
F 0.7490 0.7490 0.4979
F 0.2510 0.2510 0.5021
K 0.7500 0.2500 0.5000
K 0.2500 0.7500 0.5000
Li 0.0000 0.0000 0.0000
Zn 0.5000 0.5000 0.0000

For the uncorrected energy, the calculation gives -40.8 eV/cell. As for the volume: 12.00 Å³/atom. The calculation puts the polymorph energy (0 for the lowest one) at 0.02 kcal/mol of atoms.


No. 2
Material: Gd2ErIn3PtAu2
Method: DFT, PBE-GGA
State: optimized geometry

a = 3.9726 Å, b = 7.7252 Å, c = 7.7252 Å
α = 119.91°, β = 90.00°, γ = 90.00°
Atoms (fractional coordinates):
Au 0.5000 0.6635 0.3345
Au 0.5000 0.3345 0.6635
Er 0.0000 0.4002 0.4002
Gd 0.0000 0.9998 0.5978
Gd 0.0000 0.5978 0.9998
In 0.5000 0.2563 0.0007
In 0.5000 0.0007 0.2563
In 0.5000 0.7446 0.7446
Pt 0.0000 0.0025 0.0025

For the uncorrected energy, the calculation gives -42.2 eV/cell. As for the volume: 22.83 Å³/atom.


No. 3
Material: HfNiB2
Method: DFT, PBE-GGA
State: optimized geometry

a = 3.9801 Å, b = 3.9801 Å, c = 3.9801 Å
α = 60.00°, β = 60.00°, γ = 60.00°
Atoms (fractional coordinates):
B 0.0000 0.0000 0.0000
B 0.2500 0.2500 0.2500
Hf 0.5000 0.5000 0.5000
Ni 0.7500 0.7500 0.7500

For the uncorrected energy, the calculation gives -26.8 eV/cell. As for the volume: 11.15 Å³/atom.